# 1
DFT (PBE-GGA) results for an optimized crystal structure of RbI2N2.

Results
ΔE_f (raw) ... 0.989 eV/atom
M_tot ... 3.088 μB per cell
Space group ... C2/m (12)
Final energy ... -31.5 eV for the cell shown

Structure (POSCAR):
```
RbI2N2
1.0
3.5125 -2.2536 0.0000
3.5125 2.2536 0.0000
-0.6695 0.0000 19.7155
Rb I N
2 4 4
direct
0.2299 0.2299 0.2646
0.7701 0.7701 0.7354
0.3176 0.3176 0.8914
0.3528 0.3528 0.5915
0.6472 0.6472 0.4085
0.6824 0.6824 0.1086
0.0904 0.0904 0.6255
0.1179 0.1179 0.8190
0.8821 0.8821 0.1810
0.9096 0.9096 0.3745
```

# 2
DFT (PBE-GGA) results for an optimized crystal structure of LaBeHPt2.

Results
M_tot ... 0.000 μB per cell
Space group ... P4/mmm (123)
Final energy ... -26.4 eV for the cell shown

Structure (POSCAR):
```
LaBeHPt2
1.0
4.3605 0.0000 0.0000
0.0000 4.3605 0.0000
0.0000 0.0000 4.4100
La Be H Pt
1 1 1 2
direct
0.0000 0.0000 0.0000
0.5000 0.5000 0.5000
0.5000 0.5000 0.0000
0.0000 0.5000 0.5000
0.5000 0.0000 0.5000
```

# 3
DFT (PBE-GGA) results for an optimized crystal structure of LiNbCl2.

Results
ΔE_f (raw) ... -0.323 eV/atom
M_tot ... 0.000 μB per cell
Space group ... Fm-3m (225)
Final energy ... -67.9 eV for the cell shown

Structure (POSCAR):
```
LiNbCl2
1.0
6.2952 0.0000 0.0000
0.0000 6.2952 0.0000
0.0000 0.0000 6.2952
Li Nb Cl
4 4 8
direct
0.0000 0.0000 0.0000
0.0000 0.5000 0.5000
0.5000 0.0000 0.5000
0.5000 0.5000 0.0000
0.0000 0.0000 0.5000
0.0000 0.5000 0.0000
0.5000 0.0000 0.0000
0.5000 0.5000 0.5000
0.2500 0.2500 0.2500
0.2500 0.2500 0.7500
0.2500 0.7500 0.2500
0.2500 0.7500 0.7500
0.7500 0.2500 0.2500
0.7500 0.2500 0.7500
0.7500 0.7500 0.2500
0.7500 0.7500 0.7500
```

# 4
DFT (PBE-GGA) results for an optimized crystal structure of ZnSbI2.

Results
ΔE_f (raw) ... 0.245 eV/atom
M_tot ... 0.000 μB per cell
Space group ... I-42d (122)
Final energy ... -30.1 eV for the cell shown

Structure (POSCAR):
```
ZnSbI2
1.0
8.3054 0.0000 0.0000
0.0000 8.3054 0.0000
0.0000 0.0000 7.5136
Zn Sb I
4 4 8
direct
0.0000 0.0000 0.0000
0.0000 0.5000 0.2500
0.5000 0.0000 0.7500
0.5000 0.5000 0.5000
0.0000 0.0000 0.5000
0.0000 0.5000 0.7500
0.5000 0.0000 0.2500
0.5000 0.5000 0.0000
0.2241 0.7500 0.1250
0.2500 0.2241 0.8750
0.2500 0.2759 0.3750
0.2759 0.7500 0.6250
0.7241 0.2500 0.6250
0.7500 0.7241 0.3750
0.7500 0.7759 0.8750
0.7759 0.2500 0.1250
```